(A)
VASP calculation (PBE-GGA) on crystalline ScMnBe2 at its relaxed geometry.

## Properties
Symmetry   Fm-3m (225)
DOS at the Fermi energy   9.0 states/eV per cell

Unit cell a=5.891 b=5.891 c=5.891 alpha=90.00 beta=90.00 gamma=90.00
Positions (direct):
1 Sc 0.000 0.000 0.000
2 Sc 0.000 0.500 0.500
3 Sc 0.500 0.000 0.500
4 Sc 0.500 0.500 0.000
5 Mn 0.000 0.000 0.500
6 Mn 0.000 0.500 0.000
7 Mn 0.500 0.000 0.000
8 Mn 0.500 0.500 0.500
9 Be 0.250 0.250 0.250
10 Be 0.250 0.250 0.750
11 Be 0.250 0.750 0.250
12 Be 0.250 0.750 0.750
13 Be 0.750 0.250 0.250
14 Be 0.750 0.250 0.750
15 Be 0.750 0.750 0.250
16 Be 0.750 0.750 0.750

***

(B)
VASP calculation (PBE-GGA) on crystalline ScMnBe2 at its relaxed geometry.

## Properties
Symmetry   Amm2 (38)
DOS at the Fermi energy   5.8 states/eV per cell

Unit cell a=3.560 b=2.934 c=9.855 alpha=90.00 beta=90.00 gamma=90.00
Positions (direct):
1 Sc 0.000 0.000 0.000
2 Sc 0.000 0.500 0.500
3 Mn 0.500 0.000 0.313
4 Mn 0.500 0.500 0.813
5 Be 0.000 0.000 0.737
6 Be 0.000 0.500 0.237
7 Be 0.500 0.000 0.627
8 Be 0.500 0.500 0.127

***

(C)
VASP calculation (PBE-GGA) on crystalline ScMnBe2 at its relaxed geometry.

## Properties
Symmetry   I-4m2 (119)
DOS at the Fermi energy   4.3 states/eV per cell

Unit cell a=3.669 b=3.669 c=7.528 alpha=90.00 beta=90.00 gamma=90.00
Positions (direct):
1 Sc 0.000 0.000 0.000
2 Sc 0.500 0.500 0.500
3 Mn 0.000 0.500 0.250
4 Mn 0.500 0.000 0.750
5 Be 0.000 0.000 0.500
6 Be 0.000 0.500 0.750
7 Be 0.500 0.000 0.250
8 Be 0.500 0.500 0.000

***

(D)
VASP calculation (PBE-GGA) on crystalline ScMnBe2 at its relaxed geometry.

## Properties
Symmetry   I-42d (122)
DOS at the Fermi energy   1.7 states/eV per cell

Unit cell a=3.851 b=3.851 c=15.497 alpha=90.00 beta=90.00 gamma=90.00
Positions (direct):
1 Sc 0.000 0.000 0.000
2 Sc 0.000 0.500 0.250
3 Sc 0.500 0.000 0.750
4 Sc 0.500 0.500 0.500
5 Mn 0.000 0.000 0.500
6 Mn 0.000 0.500 0.750
7 Mn 0.500 0.000 0.250
8 Mn 0.500 0.500 0.000
9 Be 0.045 0.250 0.625
10 Be 0.250 0.545 0.875
11 Be 0.250 0.955 0.375
12 Be 0.455 0.250 0.125
13 Be 0.545 0.750 0.125
14 Be 0.750 0.045 0.375
15 Be 0.750 0.455 0.875
16 Be 0.955 0.750 0.625

***

Most stable = (A)

***

(A)
VASP calculation (PBE-GGA) on crystalline ScMn2Be2 at its relaxed geometry.

## Properties
Symmetry   P4/mbm (127)
DOS at the Fermi energy   8.0 states/eV per cell

Unit cell a=6.881 b=6.881 c=2.481 alpha=90.00 beta=90.00 gamma=90.00
Positions (direct):
1 Sc 0.000 0.000 0.000
2 Sc 0.500 0.500 0.000
3 Mn 0.115 0.385 0.000
4 Mn 0.385 0.885 0.000
5 Mn 0.615 0.115 0.000
6 Mn 0.885 0.615 0.000
7 Be 0.175 0.675 0.500
8 Be 0.325 0.175 0.500
9 Be 0.675 0.825 0.500
10 Be 0.825 0.325 0.500

***

(B)
VASP calculation (PBE-GGA) on crystalline ScMn2Be2 at its relaxed geometry.

## Properties
Symmetry   P4/mbm (127)
DOS at the Fermi energy   7.2 states/eV per cell

Unit cell a=6.538 b=6.538 c=2.823 alpha=90.00 beta=90.00 gamma=90.00
Positions (direct):
1 Sc 0.000 0.000 0.000
2 Sc 0.500 0.500 0.000
3 Mn 0.173 0.327 0.500
4 Mn 0.327 0.827 0.500
5 Mn 0.673 0.173 0.500
6 Mn 0.827 0.673 0.500
7 Be 0.116 0.616 0.000
8 Be 0.384 0.116 0.000
9 Be 0.616 0.884 0.000
10 Be 0.884 0.384 0.000

***

Most stable = (B)

***

(A)
VASP calculation (PBE-GGA) on crystalline ScMn3Be at its relaxed geometry.

## Properties
Symmetry   Pm-3m (221)
DOS at the Fermi energy   4.3 states/eV per cell

Unit cell a=4.525 b=4.525 c=4.525 alpha=90.00 beta=90.00 gamma=90.00
Positions (direct):
1 Sc 0.000 0.000 0.000
2 Mn 0.000 0.000 0.500
3 Mn 0.000 0.500 0.000
4 Mn 0.500 0.000 0.000
5 Be 0.500 0.500 0.500

***

(B)
VASP calculation (PBE-GGA) on crystalline ScMn3Be at its relaxed geometry.

## Properties
Symmetry   Pm-3m (221)
DOS at the Fermi energy   4.7 states/eV per cell

Unit cell a=4.160 b=4.160 c=4.160 alpha=90.00 beta=90.00 gamma=90.00
Positions (direct):
1 Sc 0.000 0.000 0.000
2 Mn 0.000 0.500 0.500
3 Mn 0.500 0.000 0.500
4 Mn 0.500 0.500 0.000
5 Be 0.500 0.500 0.500

***

Most stable = (B)

***

(A)
VASP calculation (PBE-GGA) on crystalline Mn2BeSe at its relaxed geometry.

## Properties
Symmetry   Pm (6)
DOS at the Fermi energy   1.8 states/eV per cell

Unit cell a=3.342 b=3.416 c=4.968 alpha=90.00 beta=108.25 gamma=90.00
Positions (direct):
1 Mn 0.000 0.000 0.000
2 Mn 0.344 0.500 0.666
3 Be 0.780 0.000 0.524
4 Se 0.599 0.500 0.207

***

(B)
VASP calculation (PBE-GGA) on crystalline Mn2BeSe at its relaxed geometry.

## Properties
Symmetry   R3m (160)
DOS at the Fermi energy   12.9 states/eV per cell

Unit cell a=2.809 b=2.809 c=22.718 alpha=90.00 beta=90.00 gamma=120.00
Positions (direct):
1 Mn 0.000 0.000 0.000
2 Mn 0.000 0.000 0.248
3 Mn 0.333 0.667 0.667
4 Mn 0.333 0.667 0.915
5 Mn 0.667 0.333 0.333
6 Mn 0.667 0.333 0.582
7 Be 0.000 0.000 0.743
8 Be 0.333 0.667 0.410
9 Be 0.667 0.333 0.077
10 Se 0.000 0.000 0.503
11 Se 0.333 0.667 0.170
12 Se 0.667 0.333 0.837

***

(C)
VASP calculation (PBE-GGA) on crystalline Mn2BeSe at its relaxed geometry.

## Properties
Symmetry   Immm (71)
DOS at the Fermi energy   4.6 states/eV per cell

Unit cell a=3.351 b=4.119 c=7.001 alpha=90.00 beta=90.00 gamma=90.00
Positions (direct):
1 Mn 0.000 0.000 0.229
2 Mn 0.000 0.000 0.771
3 Mn 0.500 0.500 0.271
4 Mn 0.500 0.500 0.729
5 Be 0.000 0.500 0.500
6 Be 0.500 0.000 0.000
7 Se 0.000 0.500 0.000
8 Se 0.500 0.000 0.500

***

Most stable = (A)